No. 1
Material: Eu2Pb2O7
Method: DFT, meta-GGA SCAN
State: single point on PBEsol structure

extended XYZ file:
```
22
Lattice="-0.532 5.398 -5.355 -2.559 -1.773 -6.957 -6.850 2.445 -2.279" Properties=species:S:1:pos:R:3 pbc="T T T"
Pb -2.522 -0.128 -5.302
Pb -1.509 3.458 -4.501
Pb -1.243 0.759 -1.824
Pb -4.668 1.981 -2.963
O -6.317 5.719 -7.484
O -6.020 2.706 -4.495
O -7.448 1.716 -8.378
O -3.921 3.364 -10.096
O -7.456 4.552 -10.943
O -3.624 0.351 -7.106
O -1.655 1.778 -5.864
O -3.316 1.257 -1.431
O -1.420 -0.607 -3.498
O -0.524 2.561 -2.790
O -2.493 4.354 -6.212
O -4.970 3.035 -7.295
O -4.446 0.474 -4.505
O -3.551 3.642 -3.797
Eu -2.788 2.571 -7.980
Eu -4.934 4.680 -5.641
Eu -6.213 3.794 -9.119
Eu -5.947 1.095 -6.442
```

Computed properties:
- calculated total energy (eV per atom) = -29.44
- space-group type = Fd-3m (227)
- formation energy (no corrections) (eV per atom) = -1.928

No. 2
Material: Eu2Pt2O7
Method: DFT, meta-GGA SCAN
State: single point on PBEsol structure

extended XYZ file:
```
22
Lattice="7.270 0.000 0.000 3.635 6.296 0.000 3.635 2.099 5.936" Properties=species:S:1:pos:R:3 pbc="T T T"
O 9.382 2.978 4.692
O 7.270 6.636 4.692
O 7.270 4.198 2.968
O 2.112 1.219 2.728
O 2.112 2.978 0.240
O 5.159 1.219 2.728
O 10.906 6.296 4.452
O 7.270 1.759 1.244
O 5.159 2.978 0.240
O 3.635 3.858 2.728
O 9.382 5.417 1.244
O 3.635 0.340 0.240
O 5.159 5.417 1.244
O 5.159 2.978 4.692
Pt 3.635 4.198 0.742
Pt 1.818 1.049 0.742
Pt 5.453 1.049 0.742
Pt 3.635 2.099 3.710
Eu 7.270 2.099 3.710
Eu 9.088 5.247 3.710
Eu 5.453 5.247 3.710
Eu 7.270 4.198 0.742
```

Computed properties:
- calculated total energy (eV per atom) = -28.39
- space-group type = Fd-3m (227)
- formation energy (no corrections) (eV per atom) = -1.895

No. 3
Material: EuRhO3
Method: DFT, meta-GGA SCAN
State: single point on PBEsol structure

extended XYZ file:
```
20
Lattice="-3.198 -2.425 -3.482 0.175 -4.768 3.160 -6.120 2.395 3.953" Properties=species:S:1:pos:R:3 pbc="T T T"
O -6.258 -2.013 5.637
O -1.783 -2.202 2.293
O -6.752 0.063 3.615
O -6.366 -4.292 3.905
O -2.885 -2.785 -2.007
O -2.391 -4.861 0.015
O -7.360 -2.596 1.337
O -4.816 -3.912 1.582
O -4.327 -0.886 2.049
O -5.310 -1.836 -0.440
O -2.777 -0.505 -0.274
O -3.833 -2.962 4.071
Rh 0.087 -2.384 1.580
Rh -2.972 -1.186 3.556
Rh -1.599 -1.213 -1.741
Rh -4.659 -0.015 0.235
Eu -4.487 -6.177 0.515
Eu -6.010 -2.098 3.126
Eu -4.655 1.379 3.116
Eu -3.133 -2.700 0.504
```

Computed properties:
- calculated total energy (eV per atom) = -23.33
- space-group type = Pnma (62)
- formation energy (no corrections) (eV per atom) = -2.090

No. 4
Material: Eu2Ru2O7
Method: DFT, meta-GGA SCAN
State: single point on PBEsol structure

extended XYZ file:
```
22
Lattice="7.229 0.000 0.000 3.615 6.261 0.000 3.615 2.087 5.903" Properties=species:S:1:pos:R:3 pbc="T T T"
Ru 3.615 2.087 3.689
Ru 5.422 1.043 0.738
Ru 3.615 4.174 0.738
Ru 1.807 1.043 0.738
O 3.615 0.420 0.297
O 2.171 1.254 2.654
O 5.058 2.920 4.724
O 5.058 1.254 2.654
O 9.401 5.427 1.179
O 7.229 6.681 4.724
O 9.401 2.920 4.724
O 7.229 4.174 2.951
O 2.171 2.920 0.297
O 3.615 3.754 2.654
O 5.058 5.427 1.179
O 5.058 2.920 0.297
O 10.844 6.261 4.427
O 7.229 1.667 1.179
Eu 9.037 5.217 3.689
Eu 5.422 5.217 3.689
Eu 7.229 2.087 3.689
Eu 7.229 4.174 0.738
```

Computed properties:
- calculated total energy (eV per atom) = -22.19
- space-group type = Fd-3m (227)
- formation energy (no corrections) (eV per atom) = -2.123